Here is crystalline TeMoOs at its relaxed geometry from the Alexandria database. Energies are from PBE.

The value obtained for the formation energy from raw total energies is 0.562 eV/atom. Its density of states at the Fermi level is 0.682 states/eV/atom. Its size of the total moment is 0.00 μB per atom. Its energy relative to the lowest polymorph listed for this composition is 130 meV per atom.

The structure belongs to space group P3m1 (No. 156); the cell edges are 3.0411, 3.0411 and 6.6076 Å and the angles 90.00°, 90.00° and 120.00°. The distinct sites, in fractional coordinates, are Te at (0.0000, 0.0000, 0.0000), Mo at (0.6667, 0.3333, 0.3470) and Os at (0.3333, 0.6667, 0.6470).